! TaNiPt3 PBE-GGA optimized geometry; values from VASP
&SYSTEM
  ibrav = 0, nat = 10, ntyp = 3
/
ATOMIC_SPECIES
Ni 58.69 Ni.upf
Pt 195.08 Pt.upf
Ta 180.95 Ta.upf
ATOMIC_POSITIONS angstrom
Ni 1.6667 1.7890 2.2077
Pt 4.9537 0.4172 4.8699
Pt 1.9367 5.3669 3.5290
Ni 4.4422 5.3669 3.7028
Pt 4.9537 3.1607 4.8699
Ta 2.5827 1.7890 4.4543
Ta 3.5261 5.3669 1.4562
Pt 4.1721 1.7890 2.3815
Pt 1.1551 3.9951 1.0406
Pt 1.1551 6.7386 1.0406
CELL_PARAMETERS angstrom
4.8835 0.0000 1.0149
0.0000 7.1558 0.0000
1.2254 0.0000 4.8956
! - formation energy (eV/atom) = -0.2644
! - energy above the most stable polymorph in this dataset (eV per formula unit) = 1.38
! - SG = P2_1/m
! - uncorrected energy (eV per formula unit) = -37.08